DFT (PBE) results for a relaxed Mg2BiAu6 crystal.

a = 3.414 Å, b = 8.264 Å, c = 8.264 Å
α = 55.21°, β = 78.08°, γ = 78.08°
Fractional coordinates of all 9 atoms:
Mg  0.858  0.642  0.642
Mg  0.142  0.358  0.358
Bi  0.000  0.000  0.000
Au  0.680  0.007  0.633
Au  0.320  0.993  0.367
Au  0.320  0.367  0.993
Au  0.500  0.674  0.326
Au  0.500  0.326  0.674
Au  0.680  0.633  0.007

- E_form: -0.2363 eV/atom
- Total magnetization: 0.0 μB/cell
- Final energy: -3.2067 eV/atom
- Symmetry: Immm (71)